Compound: LiPuBiSb
Source: the Alexandria database
Functional: PBE
Structure: relaxed

Structure (POSCAR):
```
LiPuBiSb
1.0
5.300 0.000 0.000
2.650 4.590 0.000
2.650 1.530 4.327
Sb Li Bi Pu
1 1 1 1
Cartesian
5.300 3.060 2.164
7.949 4.590 3.245
0.000 0.000 0.000
2.650 1.530 1.082
```

## Properties
E_form (uncorrected)   -0.340 eV/atom
N(E_F)   13.73 states/eV/f.u.
Raw total energy   -25.607 eV for the cell shown
Total magnetic moment   5.53 μB per formula unit
SG   F-43m, No. 216